Record 1
# Sr8Ca3Ac2

Crystalline Sr8Ca3Ac2 at its relaxed geometry (GGA-PBE, Alexandria via LeMat-Bulk).

```
13
Lattice="6.6119 0.0000 0.0000 -0.0111 10.0807 0.0000 -0.0107 -4.4097 10.1372" Properties=species:S:1:pos:R:3 pbc="T T T"
Sr 0.0020 0.3100 2.2630
Sr -0.0006 1.3555 6.4755
Sr 3.2803 -1.7798 7.1087
Sr 3.2823 3.7171 1.4363
Sr 3.3078 1.9538 8.7010
Sr 3.3098 7.4507 3.0285
Sr 6.5906 4.3155 3.6617
Sr 6.5881 5.3610 7.8742
Ca 0.0115 6.8647 0.5330
Ca 3.3059 0.0000 0.0000
Ca 6.5786 -1.1937 9.6043
Ac 3.2839 4.4486 5.8609
Ac 3.3062 1.2223 4.2763
```

Values from the calculation:
Magnetization in μB per cell: 0.0
Calculated volume in Å³/atom: 52.0
Energy of formation in eV/atom: 0.124
Space-group type: P-1


Record 2
# ZrTiCuHg

Crystalline ZrTiCuHg at its relaxed geometry (GGA-PBE, Alexandria via LeMat-Bulk).

```
4
Lattice="3.1902 0.0000 0.0000 0.0000 3.1902 0.0000 0.0000 0.0000 7.1893" Properties=species:S:1:pos:R:3 pbc="T T T"
Zr 0.0000 0.0000 0.0000
Ti 0.0000 0.0000 3.1662
Cu 1.5951 1.5951 1.7754
Hg 1.5951 1.5951 5.0545
```

Values from the calculation:
Magnetization in μB per cell: 1.2
Calculated volume in Å³/atom: 18.3
Energy of formation in eV/atom: -0.069
Space-group type: P4mm